[1]
# PBE Nb2P4O15, optimized geometry
# calculated density = 2.92 g/cm3
# calculated total energy = -163.84 eV per formula unit
data_Nb2P4O15
_chemical_formula_sum 'Nb4 P8 O30'
_cell_length_a 6.778
_cell_length_b 8.527
_cell_length_c 11.241
_cell_angle_alpha 74.51
_cell_angle_beta 89.78
_cell_angle_gamma 89.88
_space_group_name_H-M_alt 'P -1'
_space_group_IT_number 2
loop_
_space_group_symop_operation_xyz
'x,y,z'
'-x,-y,-z'
loop_
_atom_site_label
_atom_site_type_symbol
_atom_site_fract_x
_atom_site_fract_y
_atom_site_fract_z
Nb1 Nb 0.240 0.294 0.152
Nb2 Nb 0.257 0.295 0.650
P1 P 0.060 0.683 0.598
P2 P 0.119 0.915 0.121
P3 P 0.380 0.916 0.621
P4 P 0.441 0.682 0.101
O1 O 0.000 0.000 0.000
O2 O 0.003 0.205 0.790
O3 O 0.034 0.314 0.525
O4 O 0.039 0.336 0.054
O5 O 0.088 0.277 0.311
O6 O 0.174 0.527 0.654
O7 O 0.211 0.833 0.562
O8 O 0.218 0.046 0.169
O9 O 0.279 0.048 0.669
O10 O 0.290 0.832 0.061
O11 O 0.325 0.526 0.153
O12 O 0.421 0.280 0.804
O13 O 0.449 0.337 0.544
O14 O 0.454 0.313 0.020
O15 O 0.498 0.203 0.288
O16 O 0.500 0.000 0.500

=====

[2]
# PBE NbPO3, optimized geometry
# calculated density = 4.50 g/cm3
# calculated total energy = -35.71 eV per formula unit
data_NbPO3
_chemical_formula_sum 'Nb1 P1 O3'
_cell_length_a 3.989
_cell_length_b 3.989
_cell_length_c 3.989
_cell_angle_alpha 90.00
_cell_angle_beta 90.00
_cell_angle_gamma 90.00
_space_group_name_H-M_alt 'P m -3 m'
_space_group_IT_number 221
_space_group_name_Hall '-P 4 2 3'
loop_
_atom_site_label
_atom_site_type_symbol
_atom_site_fract_x
_atom_site_fract_y
_atom_site_fract_z
Nb1 Nb 0.000 0.000 0.000
P1 P 0.500 0.500 0.500
O1 O 0.000 0.000 0.500

=====

[3]
# PBE NbPO5, optimized geometry
# calculated density = 3.06 g/cm3
# calculated total energy = -51.24 eV per formula unit
data_NbPO5
_chemical_formula_sum 'Nb2 P2 O10'
_cell_length_a 8.709
_cell_length_b 5.292
_cell_length_c 4.887
_cell_angle_alpha 90.00
_cell_angle_beta 101.15
_cell_angle_gamma 90.00
_space_group_name_H-M_alt 'P 1 2/c 1'
_space_group_IT_number 13
loop_
_space_group_symop_operation_xyz
'x,y,z'
'-x,-y,-z'
'-x,y,-z+1/2'
'x,-y,z+1/2'
loop_
_atom_site_label
_atom_site_type_symbol
_atom_site_fract_x
_atom_site_fract_y
_atom_site_fract_z
Nb1 Nb 0.000 0.168 0.250
P1 P 0.500 0.432 0.750
O1 O 0.000 0.476 0.750
O2 O 0.149 0.001 0.552
O3 O 0.382 0.418 0.411

=====

[4]
# PBE NbP2PbO8, optimized geometry
# calculated density = 4.68 g/cm3
# calculated total energy = -90.09 eV per formula unit
data_NbP2PbO8
_chemical_formula_sum 'Nb2 P4 Pb2 O16'
_cell_length_a 8.439
_cell_length_b 5.352
_cell_length_c 7.702
_cell_angle_alpha 90.00
_cell_angle_beta 92.77
_cell_angle_gamma 90.00
_space_group_name_H-M_alt 'C 1 2/m 1'
_space_group_IT_number 12
loop_
_space_group_symop_operation_xyz
'x,y,z'
'-x,-y,-z'
'-x,y,-z'
'x,-y,z'
'x+1/2,y+1/2,z'
'-x+1/2,-y+1/2,-z'
'-x+1/2,y+1/2,-z'
'x+1/2,-y+1/2,z'
loop_
_atom_site_label
_atom_site_type_symbol
_atom_site_fract_x
_atom_site_fract_y
_atom_site_fract_z
Nb1 Nb 0.000 0.000 0.000
P1 P 0.141 0.500 0.774
Pb1 Pb 0.000 0.000 0.500
O1 O 0.039 0.260 0.799
O2 O 0.206 0.500 0.593
O3 O 0.228 0.000 0.075

=====

[5]
# PBE NbP2PbO, optimized geometry
# calculated density = 5.80 g/cm3
# calculated total energy = -24.50 eV per formula unit
data_NbP2PbO
_chemical_formula_sum 'Nb1 P2 Pb1 O1'
_cell_length_a 5.129
_cell_length_b 5.129
_cell_length_c 4.111
_cell_angle_alpha 90.00
_cell_angle_beta 90.00
_cell_angle_gamma 90.00
_space_group_name_H-M_alt 'P 4/m m m'
_space_group_IT_number 123
_space_group_name_Hall '-P 4 2'
loop_
_atom_site_label
_atom_site_type_symbol
_atom_site_fract_x
_atom_site_fract_y
_atom_site_fract_z
Nb1 Nb 0.000 0.000 0.000
P1 P 0.000 0.500 0.500
Pb1 Pb 0.500 0.500 0.500
O1 O 0.500 0.500 0.000

=====

[6]
# PBE Rb2NbPO6, optimized geometry
# calculated density = 4.19 g/cm3
# calculated total energy = -65.82 eV per formula unit
data_Rb2NbPO6
_chemical_formula_sum 'Rb4 Nb2 P2 O12'
_cell_length_a 5.262
_cell_length_b 5.262
_cell_length_c 11.190
_cell_angle_alpha 90.00
_cell_angle_beta 90.00
_cell_angle_gamma 90.00
_space_group_name_H-M_alt 'I 4/m m m'
_space_group_IT_number 139
_space_group_name_Hall '-I 4 2'
loop_
_atom_site_label
_atom_site_type_symbol
_atom_site_fract_x
_atom_site_fract_y
_atom_site_fract_z
Rb1 Rb 0.000 0.500 0.250
Nb1 Nb 0.000 0.000 0.000
P1 P 0.000 0.000 0.500
O1 O 0.000 0.000 0.170
O2 O 0.217 0.217 0.500

=====

[7]
# PBE RbNbPO2, optimized geometry
# calculated density = 3.97 g/cm3
# calculated total energy = -19.99 eV per formula unit
data_RbNbPO2
_chemical_formula_sum 'Rb1 Nb1 P1 O2'
_cell_length_a 4.039
_cell_length_b 4.039
_cell_length_c 6.180
_cell_angle_alpha 90.00
_cell_angle_beta 90.00
_cell_angle_gamma 90.00
_space_group_name_H-M_alt 'P 4/m m m'
_space_group_IT_number 123
_space_group_name_Hall '-P 4 2'
loop_
_atom_site_label
_atom_site_type_symbol
_atom_site_fract_x
_atom_site_fract_y
_atom_site_fract_z
Rb1 Rb 0.000 0.000 0.000
Nb1 Nb 0.500 0.500 0.500
P1 P 0.000 0.000 0.500
O1 O 0.000 0.500 0.000

=====

[8]
# PBE RbNbP2O8, optimized geometry
# calculated density = 2.90 g/cm3
# calculated total energy = -89.88 eV per formula unit
data_RbNbP2O8
_chemical_formula_sum 'Rb3 Nb3 P6 O24'
_cell_length_a 5.2802
_cell_length_b 5.2802
_cell_length_c 26.2246
_cell_angle_alpha 90.00
_cell_angle_beta 90.00
_cell_angle_gamma 120.00
_space_group_name_H-M_alt 'R -3 m'
_space_group_IT_number 166
_space_group_name_Hall '-R 3 2"'
loop_
_atom_site_label
_atom_site_type_symbol
_atom_site_fract_x
_atom_site_fract_y
_atom_site_fract_z
Rb1 Rb 0.0000 0.0000 0.0000
Nb1 Nb 0.0000 0.0000 0.5000
P1 P 0.0000 0.0000 0.2342
O1 O 0.0000 0.0000 0.2911
O2 O 0.0187 0.5093 0.8775

=====

[9]
# PBE RbNbPO2, optimized geometry
# calculated density = 4.60 g/cm3
# calculated total energy = -32.48 eV per formula unit
data_RbNbPO2
_chemical_formula_sum 'Rb1 Nb1 P1 O2'
_cell_length_a 4.138
_cell_length_b 4.138
_cell_length_c 5.083
_cell_angle_alpha 90.00
_cell_angle_beta 90.00
_cell_angle_gamma 90.00
_space_group_name_H-M_alt 'P 4/m m m'
_space_group_IT_number 123
_space_group_name_Hall '-P 4 2'
loop_
_atom_site_label
_atom_site_type_symbol
_atom_site_fract_x
_atom_site_fract_y
_atom_site_fract_z
Rb1 Rb 0.000 0.000 0.000
Nb1 Nb 0.500 0.500 0.500
P1 P 0.500 0.500 0.000
O1 O 0.000 0.500 0.500

=====

[10]
# PBE RbNbP2O, optimized geometry
# calculated density = 4.00 g/cm3
# calculated total energy = -17.90 eV per formula unit
data_RbNbP2O
_chemical_formula_sum 'Rb1 Nb1 P2 O1'
_cell_length_a 5.103
_cell_length_b 5.103
_cell_length_c 4.090
_cell_angle_alpha 90.00
_cell_angle_beta 90.00
_cell_angle_gamma 90.00
_space_group_name_H-M_alt 'P 4/m m m'
_space_group_IT_number 123
_space_group_name_Hall '-P 4 2'
loop_
_atom_site_label
_atom_site_type_symbol
_atom_site_fract_x
_atom_site_fract_y
_atom_site_fract_z
Rb1 Rb 0.000 0.000 0.000
Nb1 Nb 0.500 0.500 0.500
P1 P 0.000 0.500 0.000
O1 O 0.000 0.000 0.500

=====

[11]
# PBE RbNbP2O, optimized geometry
# calculated density = 4.06 g/cm3
# calculated total energy = -29.52 eV per formula unit
data_RbNbP2O
_chemical_formula_sum 'Rb1 Nb1 P2 O1'
_cell_length_a 5.066
_cell_length_b 5.066
_cell_length_c 4.082
_cell_angle_alpha 90.00
_cell_angle_beta 90.00
_cell_angle_gamma 90.00
_space_group_name_H-M_alt 'P 4/m m m'
_space_group_IT_number 123
_space_group_name_Hall '-P 4 2'
loop_
_atom_site_label
_atom_site_type_symbol
_atom_site_fract_x
_atom_site_fract_y
_atom_site_fract_z
Rb1 Rb 0.000 0.000 0.000
Nb1 Nb 0.500 0.500 0.500
P1 P 0.000 0.500 0.500
O1 O 0.500 0.500 0.000

=====

[12]
# PBE RbNbP2O8, optimized geometry
# calculated density = 3.10 g/cm3
# calculated total energy = -89.87 eV per formula unit
data_RbNbP2O8
_chemical_formula_sum 'Rb4 Nb4 P8 O32'
_cell_length_a 5.299
_cell_length_b 12.224
_cell_length_c 13.290
_cell_angle_alpha 90.00
_cell_angle_beta 113.41
_cell_angle_gamma 90.00
_space_group_name_H-M_alt 'P 1 21/c 1'
_space_group_IT_number 14
loop_
_space_group_symop_operation_xyz
'x,y,z'
'-x,-y,-z'
'-x,y+1/2,-z+1/2'
'x,-y+1/2,z+1/2'
loop_
_atom_site_label
_atom_site_type_symbol
_atom_site_fract_x
_atom_site_fract_y
_atom_site_fract_z
Rb1 Rb 0.202 0.129 0.456
Nb1 Nb 0.423 0.115 0.174
P1 P 0.091 0.698 0.837
P2 P 0.114 0.068 0.869
O1 O 0.061 0.177 0.795
O2 O 0.100 0.219 0.141
O3 O 0.133 0.595 0.902
O4 O 0.170 0.515 0.659
O5 O 0.252 0.109 0.985
O6 O 0.288 0.509 0.332
O7 O 0.362 0.743 0.353
O8 O 0.446 0.625 0.182

=====

Q: Which value of calculated density does entry 12 give?
A: 3.10 g/cm3

=====

Q: Number 2 is which compound?
A: NbPO3

=====

Q: calculated total energy of number 3 (NbPO5)?
A: -51.24 eV per formula unit